No. 1
Cr2AsOs | SCAN | PBEsol geometry

Calculated values
Theoretical density, Mg/m³: 12.2
Space-group type: P4/mmm, No. 123
Energy of formation from the pure elements, eV per atom: 0.11
Magnetization, μB per formula unit: 0.00

a = 2.7926 Å, b = 2.7926 Å, c = 6.4505 Å
α = 90.00°, β = 90.00°, γ = 90.00°
With the nearest neighbours (Å) after each atom.
Fractional positions:
As: 0.5000 0.5000 0.5000  8 Cr 2.50, 4 As 2.79
Cr: 0.0000 0.0000 0.7373  4 As 2.50, 4 Os 2.60, 4 Cr 2.79
Cr: 0.0000 0.0000 0.2627  4 As 2.50, 4 Os 2.60, 4 Cr 2.79
Os: 0.5000 0.5000 0.0000  8 Cr 2.60, 4 Os 2.79

***

No. 2
CrAs2Os | SCAN | PBEsol geometry

Calculated values
Theoretical density, Mg/m³: 11.9
Space-group type: P4/mmm, No. 123
Energy of formation from the pure elements, eV per atom: 0.14
Magnetization, μB per formula unit: 1.24

a = 3.0081 Å, b = 4.2588 Å, c = 4.2588 Å
α = 90.00°, β = 90.00°, γ = 90.00°
With the nearest neighbours (Å) after each atom.
Fractional positions:
As: 0.0000 0.0000 0.5000  4 Cr 2.61, 4 Os 2.61
As: 0.0000 0.5000 0.0000  4 Cr 2.61, 4 Os 2.61
Cr: 0.5000 0.5000 0.5000  8 As 2.61
Os: 0.5000 0.0000 0.0000  8 As 2.61

***

No. 3
CrAs4Os | SCAN | PBEsol geometry

Calculated values
Theoretical density, Mg/m³: 8.7
Space-group type: F-43m, No. 216
Energy of formation from the pure elements, eV per atom: 0.99
Magnetization, μB per formula unit: 3.17

a = 5.2621 Å, b = 5.2621 Å, c = 5.2621 Å
α = 60.00°, β = 60.00°, γ = 60.00°
With the nearest neighbours (Å) after each atom.
Fractional positions:
As: 0.3747 0.3747 0.3747  6 As 2.63-2.64
As: 0.3747 0.3747 0.8758  6 As 2.63-2.64
As: 0.8758 0.3747 0.3747  6 As 2.63-2.64
As: 0.3747 0.8758 0.3747  6 As 2.63-2.64
Cr: 0.7500 0.7500 0.7500  12 As 3.09, 4 Os 3.22
Os: 0.0000 0.0000 0.0000  12 As 3.08, 4 Cr 3.22

***

No. 4
CrAs2Os | SCAN | PBEsol geometry

Calculated values
Theoretical density, Mg/m³: 11.1
Space-group type: Immm, No. 71
Energy of formation from the pure elements, eV per atom: 0.46
Magnetization, μB per formula unit: 2.74

a = 2.9786 Å, b = 4.9039 Å, c = 4.9039 Å
α = 61.40°, β = 72.32°, γ = 72.32°
With the nearest neighbours (Å) after each atom.
Fractional positions:
As: 0.2442 0.7558 0.7558  2 Cr 2.44, 2 Os 2.51
As: 0.7558 0.2442 0.2442  2 Cr 2.44, 2 Os 2.51
Cr: 0.5000 0.0000 0.0000  4 As 2.44
Os: 0.0000 0.5000 0.5000  4 As 2.51

***

No. 5
CrAsOs2 | SCAN | PBEsol geometry

Calculated values
Theoretical density, Mg/m³: 15.3
Space-group type: F-43m, No. 216
Energy of formation from the pure elements, eV per atom: 0.46
Magnetization, μB per formula unit: 0.00

a = 4.2661 Å, b = 4.2661 Å, c = 4.2661 Å
α = 60.00°, β = 60.00°, γ = 60.00°
With the nearest neighbours (Å) after each atom.
Fractional positions:
As: 0.5000 0.5000 0.5000  4 Os 2.61, 4 Cr 2.61
Cr: 0.2500 0.2500 0.2500  4 As 2.61, 4 Os 2.61
Os: 0.0000 0.0000 0.0000  4 Cr 2.61, 4 Os 2.61
Os: 0.7500 0.7500 0.7500  4 Os 2.61, 4 As 2.61

***

No. 6
CrAs3Os | SCAN | PBEsol geometry

Calculated values
Theoretical density, Mg/m³: 8.6
Space-group type: Pm-3m, No. 221
Energy of formation from the pure elements, eV per atom: 1.17
Magnetization, μB per formula unit: 2.87

a = 4.4832 Å, b = 4.4832 Å, c = 4.4832 Å
α = 90.00°, β = 90.00°, γ = 90.00°
With the nearest neighbours (Å) after each atom.
Fractional positions:
Cr: 0.0000 0.0000 0.0000  6 As 2.24
As: 0.0000 0.5000 0.0000  2 Cr 2.24
As: 0.0000 0.0000 0.5000  2 Cr 2.24
As: 0.5000 0.0000 0.0000  2 Cr 2.24
Os: 0.5000 0.5000 0.5000  12 As 3.17